Entry i
A plane-wave DFT calculation with PBE with a Hubbard U was carried out for crystalline BaCo2P2O8 at its relaxed geometry.

POSCAR file:
```
BaCo2P2O8
1.0
5.272 0.000 0.000
-2.636 4.565 0.000
0.000 0.000 8.150
Ba Co P O
1 2 2 8
Direct
0.000 0.000 0.000
0.333 0.667 0.689
0.667 0.333 0.311
0.333 0.667 0.271
0.667 0.333 0.729
0.035 0.424 0.201
0.333 0.667 0.456
0.389 0.965 0.201
0.424 0.389 0.799
0.576 0.611 0.201
0.611 0.035 0.799
0.667 0.333 0.544
0.965 0.576 0.799
```

Computed properties:
SG: P-3, No. 147
Total magnetization in μB/f.u.: 6.0
Volume in Å³/atom: 15.09

---

Entry ii
A plane-wave DFT calculation with PBE with a Hubbard U was carried out for crystalline BaCo2P2O8 at its relaxed geometry.

POSCAR file:
```
BaCo2P2O8
1.0
2.419 1.396 7.691
-2.419 1.396 7.691
0.000 -2.793 7.691
Ba Co P O
1 2 2 8
Direct
0.000 0.000 0.000
0.170 0.170 0.170
0.830 0.830 0.830
0.425 0.425 0.425
0.575 0.575 0.575
0.145 0.435 0.759
0.241 0.855 0.565
0.359 0.359 0.359
0.435 0.759 0.145
0.565 0.241 0.855
0.641 0.641 0.641
0.759 0.145 0.435
0.855 0.565 0.241
```

Computed properties:
SG: R-3, No. 148
Total magnetization in μB/f.u.: 2.0
Volume in Å³/atom: 11.99

---

Ranking the structures above by stability puts entry i first and entry ii last.